# 1
A plane-wave DFT calculation with PBE-GGA was carried out for a relaxed NaPrCdTe3 crystal.

Properties
Its total energy is -22.177 eV per formula unit. The calculation puts the energy relative to the lowest polymorph listed for this composition at 21 meV/atom. The density comes out at 5.5 g/cm3.

Lattice parameters (Å, degrees): 12.9514 4.5832 13.3806 90.00 90.00 90.00
Element x y z (fractional)
Na (0.1561, 0.2500, 0.0061)
Na (0.3439, 0.7500, 0.5061)
Na (0.6561, 0.2500, 0.4939)
Na (0.8439, 0.7500, 0.9939)
Pr (0.0331, 0.2500, 0.3188)
Pr (0.4669, 0.7500, 0.8188)
Pr (0.5331, 0.2500, 0.1812)
Pr (0.9669, 0.7500, 0.6812)
Cd (0.2470, 0.2500, 0.7099)
Cd (0.2530, 0.7500, 0.2099)
Cd (0.7470, 0.2500, 0.7901)
Cd (0.7530, 0.7500, 0.2901)
Te (0.0458, 0.7500, 0.1461)
Te (0.0917, 0.2500, 0.5647)
Te (0.2157, 0.7500, 0.8353)
Te (0.2843, 0.2500, 0.3353)
Te (0.4083, 0.7500, 0.0647)
Te (0.4542, 0.2500, 0.6461)
Te (0.5458, 0.7500, 0.3539)
Te (0.5917, 0.2500, 0.9353)
Te (0.7157, 0.7500, 0.6647)
Te (0.7843, 0.2500, 0.1647)
Te (0.9083, 0.7500, 0.4353)
Te (0.9542, 0.2500, 0.8539)

# 2
A plane-wave DFT calculation with PBE-GGA was carried out for a relaxed NbS2NF6 crystal.

Properties
Its total energy is -56.489 eV per formula unit. The density comes out at 3.4 g/cm3.

Lattice parameters (Å, degrees): 5.4952 5.4952 5.0238 90.48 90.48 66.17
Element x y z (fractional)
Nb (0.0000, 0.0000, 0.0000)
S (0.3574, 0.3574, 0.3586)
S (0.6426, 0.6426, 0.6414)
N (0.5000, 0.5000, 0.5000)
F (0.1002, 0.6459, 0.8564)
F (0.1122, 0.1122, 0.6779)
F (0.3541, 0.8998, 0.1436)
F (0.6459, 0.1002, 0.8564)
F (0.8878, 0.8878, 0.3221)
F (0.8998, 0.3541, 0.1436)

# 3
A plane-wave DFT calculation with PBE-GGA was carried out for a relaxed Pr2B4Ir2Pd3 crystal.

Properties
Its total energy is -75.525 eV per formula unit. The density comes out at 10.4 g/cm3.

Lattice parameters (Å, degrees): 7.7273 6.2459 5.9807 78.36 52.34 49.29
Element x y z (fractional)
Pr (0.1505, 0.1505, 0.8495)
Pr (0.8495, 0.8495, 0.1505)
B (0.2085, 0.5162, 0.4838)
B (0.4838, 0.7915, 0.2085)
B (0.5162, 0.2085, 0.7915)
B (0.7915, 0.4838, 0.5162)
Ir (0.2500, 0.2500, 0.2500)
Ir (0.7500, 0.7500, 0.7500)
Pd (0.0000, 0.0000, 0.5000)
Pd (0.5000, 0.5000, 0.0000)
Pd (0.5000, 0.5000, 0.5000)

# 4
A plane-wave DFT calculation with PBE-GGA was carried out for a relaxed K2HgCl4 crystal.

Properties
Its total energy is -19.172 eV per formula unit. The density comes out at 3.0 g/cm3.

Lattice parameters (Å, degrees): 12.0247 9.4830 8.0437 90.00 90.00 90.00
Element x y z (fractional)
K (0.0000, 0.0000, 0.0000)
K (0.0000, 0.0000, 0.5000)
K (0.0000, 0.5000, 0.0000)
K (0.0000, 0.5000, 0.5000)
K (0.5000, 0.0000, 0.0000)
K (0.5000, 0.0000, 0.5000)
K (0.5000, 0.5000, 0.0000)
K (0.5000, 0.5000, 0.5000)
Hg (0.2342, 0.2500, 0.2307)
Hg (0.2658, 0.7500, 0.7307)
Hg (0.7342, 0.2500, 0.2693)
Hg (0.7658, 0.7500, 0.7693)
Cl (0.0294, 0.7500, 0.7488)
Cl (0.0307, 0.2500, 0.7511)
Cl (0.2233, 0.0030, 0.2310)
Cl (0.2233, 0.4970, 0.2310)
Cl (0.2767, 0.5030, 0.7310)
Cl (0.2767, 0.9970, 0.7310)
Cl (0.4693, 0.7500, 0.2511)
Cl (0.4706, 0.2500, 0.2488)
Cl (0.5294, 0.7500, 0.7512)
Cl (0.5307, 0.2500, 0.7489)
Cl (0.7233, 0.0030, 0.2690)
Cl (0.7233, 0.4970, 0.2690)
Cl (0.7767, 0.5030, 0.7690)
Cl (0.7767, 0.9970, 0.7690)
Cl (0.9693, 0.7500, 0.2489)
Cl (0.9706, 0.2500, 0.2512)

# 5
A plane-wave DFT calculation with PBE-GGA was carried out for a relaxed InCu2Ge crystal.

Properties
Its total energy is -14.073 eV per formula unit. The density comes out at 7.9 g/cm3.

Lattice parameters (Å, degrees): 6.4263 6.4263 6.4263 90.00 90.00 90.00
Element x y z (fractional)
In (0.0000, 0.0000, 0.0000)
In (0.0000, 0.0000, 0.5000)
In (0.0000, 0.5000, 0.0000)
In (0.5000, 0.0000, 0.0000)
Cu (0.2678, 0.2678, 0.2678)
Cu (0.2678, 0.2678, 0.7322)
Cu (0.2678, 0.7322, 0.2678)
Cu (0.2678, 0.7322, 0.7322)
Cu (0.7322, 0.2678, 0.2678)
Cu (0.7322, 0.2678, 0.7322)
Cu (0.7322, 0.7322, 0.2678)
Cu (0.7322, 0.7322, 0.7322)
Ge (0.0000, 0.5000, 0.5000)
Ge (0.5000, 0.0000, 0.5000)
Ge (0.5000, 0.5000, 0.0000)
Ge (0.5000, 0.5000, 0.5000)

# 6
A plane-wave DFT calculation with PBE-GGA was carried out for a relaxed Hf2ZnFe crystal.

Properties
Its total energy is -28.964 eV per formula unit. The density comes out at 12.2 g/cm3. For the formation energy from the elements, the calculation gives 0.130 eV per atom.

Lattice parameters (Å, degrees): 6.3801 6.3801 6.3801 90.00 90.00 90.00
Element x y z (fractional)
Hf (0.0000, 0.0000, 0.0000)
Hf (0.0000, 0.5000, 0.5000)
Hf (0.2500, 0.2500, 0.2500)
Hf (0.2500, 0.7500, 0.7500)
Hf (0.5000, 0.0000, 0.5000)
Hf (0.5000, 0.5000, 0.0000)
Hf (0.7500, 0.2500, 0.7500)
Hf (0.7500, 0.7500, 0.2500)
Zn (0.2500, 0.2500, 0.7500)
Zn (0.2500, 0.7500, 0.2500)
Zn (0.7500, 0.2500, 0.2500)
Zn (0.7500, 0.7500, 0.7500)
Fe (0.0000, 0.0000, 0.5000)
Fe (0.0000, 0.5000, 0.0000)
Fe (0.5000, 0.0000, 0.0000)
Fe (0.5000, 0.5000, 0.5000)

- Number 6 is which compound?
  Hf2ZnFe